Record 1
A plane-wave DFT calculation with SCAN was carried out for a PBEsol-optimized structure of AlC3.

abc: 2.7029 2.7029 9.1745
angles: 90.00 90.00 90.00
Last column: nearest neighbours and their distance in Å.
Space group I4/mmm (No. 139)
One atom of each set of equivalent atoms:
Al 0.0000 0.0000 0.0000 (multiplicity 2)  4 C 1.91
C 0.0000 0.0000 0.5000 (multiplicity 2)  4 Al 1.91
C 0.0000 0.5000 0.2500 (multiplicity 4)  4 C 1.91

- energy relative to the elements (kJ/mol of formula units) = 939
- distance to the lowest polymorph of the same formula (meV/atom) = 771
- electronic total energy (eV per atom) = -7.079
- size of the total moment (μB per formula unit) = 0.01
- V (Å³/cell) = 67
- mass density (Mg/m³) = 3.12



Record 2
A plane-wave DFT calculation with SCAN was carried out for a PBEsol-optimized structure of AlC.

abc: 2.9211 2.9211 9.4956
angles: 90.00 90.00 90.00
Last column: nearest neighbours and their distance in Å.
Space group I4_1/amd (No. 141, origin choice 2)
One atom of each set of equivalent atoms:
Al 0.0000 0.2500 0.3750 (multiplicity 4)  4 C 2.07
C 0.0000 0.2500 0.8750 (multiplicity 4)  4 Al 2.07

- energy relative to the elements (kJ/mol of formula units) = 179
- distance to the lowest polymorph of the same formula (meV/atom) = 516
- electronic total energy (eV per atom) = -7.998
- size of the total moment (μB per formula unit) = 0.00
- V (Å³/cell) = 81
- mass density (Mg/m³) = 3.20



Record 3
A plane-wave DFT calculation with SCAN was carried out for a PBEsol-optimized structure of Al4C.

abc: 3.3774 3.3774 14.1442
angles: 90.00 90.00 90.00
Last column: nearest neighbours and their distance in Å.
Space group I4/mmm (No. 139)
One atom of each set of equivalent atoms:
Al 0.0000 0.0000 0.0867 (multiplicity 4)  1 Al 2.45, 4 C 2.68
Al 0.0000 0.5000 0.2500 (multiplicity 4)  4 Al 2.39
C 0.0000 0.0000 0.5000 (multiplicity 2)  8 Al 2.68

- energy relative to the elements (kJ/mol of formula units) = 595
- electronic total energy (eV per atom) = -6.989
- size of the total moment (μB per formula unit) = 0.00
- V (Å³/cell) = 161
- mass density (Mg/m³) = 2.47



Record 4
A plane-wave DFT calculation with SCAN was carried out for a PBEsol-optimized structure of Al5C4.

abc: 6.5805 6.5805 5.9152
angles: 90.00 90.00 90.00
Last column: nearest neighbours and their distance in Å.
Space group I4/mmm (No. 139)
One atom of each set of equivalent atoms:
Al 0.0000 0.0000 0.0000 (multiplicity 2)  4 C 2.61, 4 Al 2.72
Al 0.2082 0.2082 0.5000 (multiplicity 8)  2 C 2.04
C 0.0000 0.3967 0.0000 (multiplicity 8)  1 C 1.36

- energy relative to the elements (kJ/mol of formula units) = 896
- electronic total energy (eV per atom) = -7.764
- size of the total moment (μB per formula unit) = 0.00
- V (Å³/cell) = 256
- mass density (Mg/m³) = 2.37